Entry from Alexandria via LeMat-Bulk: a geometry-optimized PrYHo structure (PBE).

It has space group C2/m (No. 12), with a = 11.3162 Å, b = 5.9329 Å, c = 5.9456 Å, α = 90.00°, β = 90.07° and γ = 90.00°. The distinct sites, in fractional coordinates, are Pr at (0.2486, 0.0000, 0.2349), Y at (0.0774, 0.5000, 0.2553) and Ho at (0.0785, 0.0000, 0.7442).

For the energy above the most stable polymorph in this dataset, the calculation gives 92 meV/atom. The value obtained for the formation energy is 0.107 eV/atom.


Entry from Alexandria via LeMat-Bulk: a geometry-optimized Co2CuTe structure (PBE).

It has space group P4/mmm (No. 123), with a = 3.1854 Å, b = 3.1854 Å, c = 5.4515 Å, α = 90.00°, β = 90.00° and γ = 90.00°. The distinct sites, in fractional coordinates, are Co at (0.0000, 0.0000, 0.2359), Cu at (0.5000, 0.5000, 0.0000) and Te at (0.5000, 0.5000, 0.5000).

The value obtained for the uncorrected formation energy is 0.3543 eV/atom.


Entry from Alexandria via LeMat-Bulk: a geometry-optimized Cs2KPtI structure (PBE).

It has space group P4/mmm (No. 123), with a = 6.6182 Å, b = 6.6182 Å, c = 6.1069 Å, α = 90.00°, β = 90.00° and γ = 90.00°. The distinct sites, in fractional coordinates, are Cs at (0.0000, 0.5000, 0.0000), K at (0.0000, 0.0000, 0.5000), Pt at (0.0000, 0.0000, 0.0000) and I at (0.5000, 0.5000, 0.5000).

The value obtained for the uncorrected formation energy is -0.5667 eV/atom.


Entry from Alexandria via LeMat-Bulk: a geometry-optimized ScCo3Sb structure (PBE).

It has space group Pm-3m (No. 221), with a = 4.4483 Å, b = 4.4483 Å, c = 4.4483 Å, α = 90.00°, β = 90.00° and γ = 90.00°. The distinct sites, in fractional coordinates, are Sc at (0.0000, 0.0000, 0.0000), Co at (0.0000, 0.0000, 0.5000) and Sb at (0.5000, 0.5000, 0.5000).

The value obtained for the uncorrected formation energy is 1.1051 eV/atom. For the energy above the most stable polymorph in this dataset, the calculation gives 394 meV/atom.


Entry from Alexandria via LeMat-Bulk: a geometry-optimized Sm8Dy6Sc structure (PBE).

It has space group P-3 (No. 147), with a = 9.8906 Å, b = 9.8906 Å, c = 5.8263 Å, α = 90.00°, β = 90.00° and γ = 120.00°. The distinct sites, in fractional coordinates, are Sm at (0.0516, 0.7792, 0.2349), Sm at (0.3333, 0.6667, 0.2333), Dy at (0.0918, 0.6205, 0.7450) and Sc at (0.0000, 0.0000, 0.5000).

For the energy above the most stable polymorph in this dataset, the calculation gives 0 meV/atom. The value obtained for the formation energy is 0.152 eV/atom.


Entry from Alexandria via LeMat-Bulk: a geometry-optimized VPdS2 structure (PBE).

It has space group C2/c (No. 15), with a = 10.5344 Å, b = 9.4920 Å, c = 11.5646 Å, α = 90.00°, β = 94.63° and γ = 90.00°. The distinct sites, in fractional coordinates, are V at (0.0965, 0.2109, 0.3390), V at (0.1414, 0.3650, 0.1287), Pd at (0.1224, 0.4480, 0.8966), Pd at (0.1768, 0.1573, 0.5935), S at (0.0000, 0.0282, 0.2500), S at (0.0000, 0.4293, 0.2500), S at (0.0297, 0.2437, 0.9951), S at (0.2266, 0.2795, 0.7714) and S at (0.2316, 0.0261, 0.4346).

The value obtained for the uncorrected formation energy is -0.5476 eV/atom.


Entry from Alexandria via LeMat-Bulk: a geometry-optimized Ca2ReRu2 structure (PBE).

It has space group P4/mbm (No. 127), with a = 6.4480 Å, b = 6.4480 Å, c = 4.9177 Å, α = 90.00°, β = 90.00° and γ = 90.00°. The distinct sites, in fractional coordinates, are Ca at (0.1805, 0.3195, 0.0000), Re at (0.0000, 0.0000, 0.5000) and Ru at (0.1340, 0.6340, 0.5000).

For the energy above the most stable polymorph in this dataset, the calculation gives 0 meV/atom. The value obtained for the formation energy is 0.185 eV/atom.


Entry from Alexandria via LeMat-Bulk: a geometry-optimized Pm2Y2Er5 structure (PBE).

It has space group P-1 (No. 2), with a = 3.5501 Å, b = 7.9590 Å, c = 10.6521 Å, α = 77.07°, β = 89.99° and γ = 77.15°. The distinct sites, in fractional coordinates, are Pm at (0.0006, 0.4979, 0.3335), Y at (0.3330, 0.8341, 0.1105), Er at (0.0000, 0.5000, 0.0000), Er at (0.3315, 0.8372, 0.4438) and Er at (0.3335, 0.8331, 0.7783).

For the energy above the most stable polymorph in this dataset, the calculation gives 0 meV/atom. The value obtained for the formation energy is 0.023 eV/atom.


Entry from Alexandria via LeMat-Bulk: a geometry-optimized CeGdAlAu structure (PBE).

It has space group F-43m (No. 216), with a = 7.3762 Å, b = 7.3762 Å, c = 7.3762 Å, α = 90.00°, β = 90.00° and γ = 90.00°. The distinct sites, in fractional coordinates, are Ce at (0.0000, 0.0000, 0.0000), Gd at (0.0000, 0.0000, 0.5000), Al at (0.2500, 0.2500, 0.2500) and Au at (0.2500, 0.2500, 0.7500).

The value obtained for the formation energy is -0.443 eV/atom.


Entry from Alexandria via LeMat-Bulk: a geometry-optimized Mn2CrSe structure (PBE).

It has space group Cm (No. 8), with a = 8.5387 Å, b = 3.1655 Å, c = 4.2308 Å, α = 90.00°, β = 105.62° and γ = 90.00°. The distinct sites, in fractional coordinates, are Mn at (0.0000, 0.0000, 0.0000), Mn at (0.2283, 0.0000, 0.6578), Cr at (0.4915, 0.0000, 0.5000) and Se at (0.2391, 0.5000, 0.1517).

The value obtained for the uncorrected formation energy is 0.2027 eV/atom.


Entry from Alexandria via LeMat-Bulk: a geometry-optimized TbSbPd structure (PBE).

It has space group C2/m (No. 12), with a = 11.1779 Å, b = 4.4943 Å, c = 5.7948 Å, α = 90.00°, β = 104.02° and γ = 90.00°. The distinct sites, in fractional coordinates, are Tb at (0.1271, 0.0000, 0.3007), Sb at (0.0816, 0.5000, 0.7874) and Pd at (0.2102, 0.0000, 0.8181).

The value obtained for the uncorrected formation energy is -0.8409 eV/atom.


Entry from Alexandria via LeMat-Bulk: a geometry-optimized Ca4GeAu3 structure (PBE).

It has space group Pmm2 (No. 25), with a = 3.9821 Å, b = 4.6085 Å, c = 11.1745 Å, α = 90.00°, β = 90.00° and γ = 90.00°. The distinct sites, in fractional coordinates, are Ca at (0.0000, 0.0000, 0.0000), Ca at (0.0000, 0.5000, 0.2750), Ca at (0.5000, 0.0000, 0.4935), Ca at (0.5000, 0.5000, 0.7835), Ge at (0.5000, 0.0000, 0.2174), Au at (0.0000, 0.0000, 0.7188), Au at (0.0000, 0.5000, 0.5567) and Au at (0.5000, 0.5000, 0.0617).

For the energy above the most stable polymorph in this dataset, the calculation gives 5 meV/atom. The value obtained for the formation energy is -0.733 eV/atom.


Number 1: VASP energy -5.167 eV per atom. Number 2: VASP energy -5.008 eV per atom. Number 3: VASP energy -2.646 eV per atom. Number 4: VASP energy -5.249 eV per atom. Number 5: VASP energy -4.628 eV per atom. Number 6: VASP energy -6.189 eV per atom. Number 7: VASP energy -6.816 eV per atom. Number 8: VASP energy -5.004 eV per atom. Number 9: VASP energy -7.201 eV per atom. Number 10: VASP energy -7.659 eV per atom. Number 11: VASP energy -5.489 eV per atom. Number 12: VASP energy -3.540 eV per atom.